Material: InFeClO2
Method: DFT, PBE+U
State: optimized geometry

Results
As for the total energy: -5.2818 eV/atom. The symmetry is P2_1/m, No. 11.

abc: 4.213 6.298 7.254
angles: 83.65 90.00 90.00
Positions (direct):
1 In 0.750 0.173 0.584
2 Cl 0.250 0.578 0.712
3 In 0.250 0.827 0.416
4 Fe 0.250 0.942 0.866
5 O 0.250 0.090 0.595
6 Cl 0.750 0.422 0.288
7 Fe 0.750 0.058 0.134
8 O 0.750 0.910 0.405
9 O 0.250 0.960 0.138
10 O 0.750 0.040 0.862